The following is a DFT calculation (PBE+U) of crystalline TlCoO2 at its relaxed geometry.

Cell lengths 5.815, 5.815, 5.815 Å; angles 90.00, 90.00, 90.00 degrees
Sites, in units of the cell vectors:
Tl  0.000  0.000  0.000
Tl  0.000  0.500  0.500
Tl  0.500  0.000  0.500
Tl  0.500  0.500  0.000
Co  0.000  0.000  0.500
Co  0.000  0.500  0.000
Co  0.500  0.000  0.000
Co  0.500  0.500  0.500
O  0.250  0.250  0.250
O  0.250  0.250  0.750
O  0.250  0.750  0.250
O  0.250  0.750  0.750
O  0.750  0.250  0.250
O  0.750  0.250  0.750
O  0.750  0.750  0.250
O  0.750  0.750  0.750

Properties
**Energy above the most stable polymorph in this dataset**: 622 meV/atom
**VASP energy**: -4.454 eV per atom
**V**: 197 Å³ per cell
**Symmetry**: Fm-3m (225)
**DOS(E_F)**: 2.03 states/eV/f.u.